CoReB | PBE | optimized geometry

Space-group type = I4mm, No. 107
Raw total energy = -26.14 eV per cell
Formation energy from the elements = 0.031 eV per atom
D(E_F) = 2.15 states/eV/f.u.

Structure (POSCAR):
```
CoReB
1.0
-1.322 1.322 4.419
1.322 -1.322 4.419
1.322 1.322 -4.419
Co Re B
1 1 1
direct
0.000 0.000 0.000 Co
0.713 0.713 0.000 Re
0.380 0.380 0.000 B
```